Entry 1:
First-principles (PBE) data for a relaxed AlCrP2 crystal, as listed in the Alexandria database.

Total energy = -0.4521 Ry/atom
Density of states at the Fermi level = 0.58 states/eV per atom
Magnetic moment = 0.0000 μB per atom
Density = 4.36 Mg/m³
Formation energy = -0.1045 eV per atom

abc: 3.0120 2.8864 6.4666
angles: 72.83 90.00 90.00
Positions (direct):
1 Al 0.5000 0.2500 0.2500
2 P 0.0000 0.3870 0.5398
3 P 0.0000 0.1130 0.9602
4 Cr 0.5000 0.7500 0.7500

***

Entry 2:
First-principles (PBE) data for a relaxed AlCr3P crystal, as listed in the Alexandria database.

Total energy = -0.5302 Ry/atom
Relative energy among the computed polymorphs = 0 meV per atom
Density of states at the Fermi level = 1.62 states/eV per atom
Magnetic moment = 0.0000 μB per atom
Density = 4.87 Mg/m³
Formation energy = 0.3912 eV per atom

abc: 4.1781 4.1781 4.1781
angles: 90.00 90.00 90.00
Positions (direct):
1 Al 0.5000 0.5000 0.5000
2 Cr 0.5000 0.0000 0.0000
3 Cr 0.0000 0.5000 0.0000
4 Cr 0.0000 0.0000 0.5000
5 P 0.0000 0.0000 0.0000

***

Entry 3:
First-principles (PBE) data for a relaxed AlCrP2 crystal, as listed in the Alexandria database.

Total energy = -0.4603 Ry/atom
Density of states at the Fermi level = 0.52 states/eV per atom
Magnetic moment = 0.7501 μB per atom
Density = 3.75 Mg/m³
Formation energy = -0.2167 eV per atom

abc: 6.1705 6.1705 6.1705
angles: 33.11 33.11 33.11
Last column: magnetic moment on the atom in μB.
Positions (direct):
1 P 0.0023 0.0023 0.0023  -0.09
2 P 0.4977 0.4977 0.4977  -0.09
3 Cr 0.7500 0.7500 0.7500  2.92
4 Al 0.2500 0.2500 0.2500  0.05

***

Entry 4:
First-principles (PBE) data for a relaxed Al3CrP crystal, as listed in the Alexandria database.

Total energy = -0.3095 Ry/atom
Relative energy among the computed polymorphs = 147 meV per atom
Density of states at the Fermi level = 1.36 states/eV per atom
Magnetic moment = 0.0338 μB per atom
Density = 2.86 Mg/m³
Formation energy = 1.0406 eV per atom

abc: 4.5646 4.5646 4.5646
angles: 90.00 90.00 90.00
Last column: magnetic moment on the atom in μB.
Positions (direct):
1 Al 0.0000 0.0000 0.5000  0.00
2 Al 0.5000 0.0000 0.0000  0.00
3 Al 0.0000 0.5000 0.0000  -0.01
4 Cr 0.5000 0.5000 0.5000  0.33
5 P 0.0000 0.0000 0.0000  -0.08

***

Entry 5:
First-principles (PBE) data for a relaxed AlCr2P crystal, as listed in the Alexandria database.

Total energy = -0.5223 Ry/atom
Relative energy among the computed polymorphs = 235 meV per atom
Density of states at the Fermi level = 0.80 states/eV per atom
Magnetic moment = 0.9008 μB per atom
Density = 5.36 Mg/m³
Formation energy = -0.0064 eV per atom

abc: 3.8584 4.0841 3.1866
angles: 90.00 90.00 90.00
Last column: magnetic moment on the atom in μB.
Positions (direct):
1 P 0.5000 0.0000 0.5000  -0.07
2 Cr 0.5000 0.5000 0.0000  1.59
3 Cr 0.0000 0.0000 0.0000  1.82
4 Al 0.0000 0.5000 0.5000  -0.02

***

Entry 6:
First-principles (PBE) data for a relaxed AlCr2P crystal, as listed in the Alexandria database.

Total energy = -0.5214 Ry/atom
Relative energy among the computed polymorphs = 247 meV per atom
Density of states at the Fermi level = 0.51 states/eV per atom
Magnetic moment = 0.0000 μB per atom
Density = 5.15 Mg/m³
Formation energy = 0.0064 eV per atom

abc: 7.9101 7.9101 7.9101
angles: 20.32 20.32 20.32
Positions (direct):
1 Al 0.7473 0.7473 0.7473
2 Cr 0.9940 0.9940 0.9940
3 Cr 0.2490 0.2490 0.2490
4 P 0.5098 0.5098 0.5098

***

Entry 7:
First-principles (PBE) data for a relaxed AlCrP2 crystal, as listed in the Alexandria database.

Total energy = -0.4110 Ry/atom
Density of states at the Fermi level = 0.69 states/eV per atom
Magnetic moment = 0.7474 μB per atom
Density = 3.99 Mg/m³
Formation energy = 0.4550 eV per atom

abc: 4.3619 4.3619 4.3619
angles: 60.00 60.00 60.00
Last column: magnetic moment on the atom in μB.
Positions (direct):
1 Al 0.5000 0.5000 0.5000  0.01
2 P 0.0000 0.0000 0.0000  -0.11
3 P 0.2500 0.2500 0.2500  -0.03
4 Cr 0.7500 0.7500 0.7500  2.90

***

Entry 8:
First-principles (PBE) data for a relaxed Al8Cr4P crystal, as listed in the Alexandria database.

Total energy = -0.4128 Ry/atom
Density of states at the Fermi level = 0.66 states/eV per atom
Magnetic moment = 0.0002 μB per atom
Density = 3.79 Mg/m³
Formation energy = 0.0644 eV per atom

abc: 6.7286 6.7286 6.7286
angles: 98.47 98.47 134.88
Positions (direct):
1 Al 0.5000 0.2702 0.7702
2 Al 0.0000 0.6944 0.6944
3 Al 0.7298 0.5000 0.2298
4 Al 0.3056 0.0000 0.3056
5 Al 0.5000 0.7298 0.2298
6 Al 0.6944 0.0000 0.6944
7 Al 0.2702 0.5000 0.7702
8 Al 0.0000 0.3056 0.3056
9 P 0.0000 0.0000 0.0000
10 Cr 0.5000 0.5000 0.5000
11 Cr 0.0000 0.0000 0.5000
12 Cr 0.0000 0.5000 0.0000
13 Cr 0.5000 0.0000 0.0000

***

Entry 9:
First-principles (PBE) data for a relaxed AlCrP2 crystal, as listed in the Alexandria database.

Total energy = -0.4497 Ry/atom
Density of states at the Fermi level = 0.63 states/eV per atom
Magnetic moment = 0.0583 μB per atom
Density = 4.30 Mg/m³
Formation energy = -0.0717 eV per atom

abc: 4.1164 4.1164 4.6927
angles: 84.36 84.36 43.51
Last column: magnetic moment on the atom in μB.
Positions (direct):
1 Cr 0.2500 0.2500 0.2500  0.24
2 P 0.9741 0.9741 0.0568  -0.01
3 P 0.5259 0.5259 0.4432  -0.01
4 Al 0.7500 0.7500 0.7500  0.00

***

Entry 10:
First-principles (PBE) data for a relaxed Al2CrP crystal, as listed in the Alexandria database.

Total energy = -0.4123 Ry/atom
Density of states at the Fermi level = 0.64 states/eV per atom
Magnetic moment = 0.4775 μB per atom
Density = 4.04 Mg/m³
Formation energy = 0.0197 eV per atom

abc: 4.5482 4.5482 2.9601
angles: 90.00 90.00 113.20
Last column: magnetic moment on the atom in μB.
Positions (direct):
1 Al 0.0000 0.0000 0.0000  -0.03
2 Al 0.5000 0.5000 0.0000  -0.03
3 Cr 0.5000 0.0000 0.5000  1.88
4 P 0.0000 0.5000 0.5000  -0.02

***

Entry 11:
First-principles (PBE) data for a relaxed Al2CrP crystal, as listed in the Alexandria database.

Total energy = -0.4125 Ry/atom
Density of states at the Fermi level = 0.44 states/eV per atom
Magnetic moment = 0.6902 μB per atom
Density = 3.96 Mg/m³
Formation energy = 0.0176 eV per atom

abc: 4.8336 4.8336 4.8336
angles: 134.04 134.04 67.03
Last column: magnetic moment on the atom in μB.
Positions (direct):
1 Cr 0.5000 0.5000 0.0000  2.60
2 Al 0.2500 0.7500 0.5000  -0.02
3 Al 0.0000 0.0000 0.0000  -0.02
4 P 0.7500 0.2500 0.5000  -0.01

***

Entry 12:
First-principles (PBE) data for a relaxed AlCr2P crystal, as listed in the Alexandria database.

Total energy = -0.5182 Ry/atom
Relative energy among the computed polymorphs = 290 meV per atom
Density of states at the Fermi level = 1.04 states/eV per atom
Magnetic moment = 0.9348 μB per atom
Density = 5.37 Mg/m³
Formation energy = 0.0492 eV per atom

abc: 4.1373 4.1373 4.1373
angles: 60.00 60.00 60.00
Last column: magnetic moment on the atom in μB.
Positions (direct):
1 Cr 0.2500 0.2500 0.2500  1.75
2 Cr 0.7500 0.7500 0.7500  1.75
3 Al 0.0000 0.0000 0.0000  -0.01
4 P 0.5000 0.5000 0.5000  -0.07

***

Entry 13:
First-principles (PBE) data for a relaxed AlCr2P crystal, as listed in the Alexandria database.

Total energy = -0.5112 Ry/atom
Relative energy among the computed polymorphs = 385 meV per atom
Density of states at the Fermi level = 0.77 states/eV per atom
Magnetic moment = 0.0000 μB per atom
Density = 5.23 Mg/m³
Formation energy = 0.1440 eV per atom

abc: 2.6155 2.6155 7.9561
angles: 90.00 90.00 109.14
Positions (direct):
1 Cr 0.0000 0.0000 0.0132
2 Cr 0.5000 0.5000 0.2507
3 Al 0.5000 0.5000 0.7602
4 P 0.0000 0.0000 0.4759

***

Entry 14:
First-principles (PBE) data for a relaxed AlCrTeP2 crystal, as listed in the Alexandria database.

Total energy = -0.3799 Ry/atom
Density of states at the Fermi level = 0.54 states/eV per atom
ΔE_f (raw) = 0.30 eV/atom
Magnetic moment = 0.1031 μB per atom
Density = 4.17 Mg/m³

abc: 4.3047 5.7770 4.3047
angles: 90.00 90.00 90.00
Last column: magnetic moment on the atom in μB.
Positions (direct):
1 P 0.5000 0.0000 0.0000  -0.05
2 P 0.0000 0.0000 0.5000  -0.04
3 Cr 0.0000 0.0000 0.0000  0.70
4 Te 0.0000 0.5000 0.0000  -0.03
5 Al 0.5000 0.5000 0.5000  -0.01

***

Entry 15:
First-principles (PBE) data for a relaxed TiAl2CrP crystal, as listed in the Alexandria database.

Total energy = -0.4202 Ry/atom
Density of states at the Fermi level = 0.89 states/eV per atom
Magnetic moment = 0.3033 μB per atom
Density = 3.45 Mg/m³
Formation energy = 0.3656 eV per atom

abc: 4.5833 4.2348 4.5833
angles: 90.00 90.00 90.00
Last column: magnetic moment on the atom in μB.
Positions (direct):
1 P 0.0000 0.5000 0.0000  -0.01
2 Ti 0.5000 0.5000 0.5000  1.29
3 Cr 0.0000 0.0000 0.0000  -0.02
4 Al 0.5000 0.0000 0.0000  -0.01
5 Al 0.0000 0.0000 0.5000  -0.01

***

Entry 16:
First-principles (PBE) data for a relaxed Al2ZnCrP crystal, as listed in the Alexandria database.

Total energy = -0.3134 Ry/atom
Density of states at the Fermi level = 0.68 states/eV per atom
Magnetic moment = 0.6392 μB per atom
Density = 3.42 Mg/m³
Formation energy = 0.4942 eV per atom

abc: 4.6925 4.4622 4.6925
angles: 90.00 90.00 90.00
Last column: magnetic moment on the atom in μB.
Positions (direct):
1 Al 0.5000 0.0000 0.0000  -0.02
2 Al 0.0000 0.0000 0.5000  0.00
3 Cr 0.0000 0.5000 0.0000  3.18
4 P 0.0000 0.0000 0.0000  -0.08
5 Zn 0.5000 0.5000 0.5000  -0.02

***

Entry 17:
First-principles (PBE) data for a relaxed PaAlCr crystal, as listed in the Alexandria database.

Total energy = -0.5655 Ry/atom
Relative energy among the computed polymorphs = 92 meV per atom
Density of states at the Fermi level = 1.68 states/eV per atom
Magnetic moment = 0.0021 μB per atom
Density = 9.77 Mg/m³
Formation energy = -0.0730 eV per atom

abc: 5.2604 5.2604 5.2604
angles: 92.93 117.96 118.69
Positions (direct):
1 Pa 0.7500 0.8954 0.1454
2 Pa 0.2500 0.1046 0.8546
3 Cr 0.5000 0.0000 0.5000
4 Cr 0.0000 0.5000 0.5000
5 Al 0.5000 0.5000 0.5000
6 Al 0.0000 0.5000 0.0000

***

Entry 18:
First-principles (PBE) data for a relaxed PaAl11Cr crystal, as listed in the Alexandria database.

Total energy = -0.3499 Ry/atom
Density of states at the Fermi level = 0.65 states/eV per atom
Magnetic moment = 0.0003 μB per atom
Density = 4.45 Mg/m³
Formation energy = -0.1231 eV per atom

abc: 5.2526 6.9913 6.8759
angles: 81.81 67.54 68.11
Positions (direct):
1 Al 0.5016 0.2201 0.7892
2 Al 0.6304 0.3603 0.3433
3 Al 0.5000 0.0000 0.5000
4 Al 0.7091 0.7799 0.7892
5 Al 0.0000 0.5000 0.0000
6 Al 0.9737 0.3603 0.6567
7 Al 0.0000 0.0000 0.5000
8 Al 0.0263 0.6397 0.3433
9 Al 0.4984 0.7799 0.2108
10 Al 0.3696 0.6397 0.6567
11 Al 0.2909 0.2201 0.2108
12 Pa 0.0000 0.0000 0.0000
13 Cr 0.5000 0.5000 0.0000

***

Entry 19:
First-principles (PBE) data for a relaxed PaAlCr crystal, as listed in the Alexandria database.

Total energy = -0.5547 Ry/atom
Relative energy among the computed polymorphs = 238 meV per atom
Density of states at the Fermi level = 1.33 states/eV per atom
Magnetic moment = 0.7967 μB per atom
Density = 8.95 Mg/m³
Formation energy = 0.0733 eV per atom

abc: 3.1219 4.6119 4.6119
angles: 120.00 90.00 90.00
Last column: magnetic moment on the atom in μB.
Positions (direct):
1 Cr 0.4993 0.6667 0.3333  2.54
2 Al 0.5006 0.3333 0.6667  0.00
3 Pa 0.0002 0.0000 0.0000  -0.33

***

Entry 20:
First-principles (PBE) data for a relaxed PaAlCr crystal, as listed in the Alexandria database.

Total energy = -0.5689 Ry/atom
Relative energy among the computed polymorphs = 46 meV per atom
Density of states at the Fermi level = 0.74 states/eV per atom
Magnetic moment = 0.0000 μB per atom
Density = 9.30 Mg/m³
Formation energy = -0.1192 eV per atom

abc: 4.7347 6.5021 7.1898
angles: 90.00 90.00 90.00
Positions (direct):
1 Al 0.7500 0.3544 0.2020
2 Al 0.2500 0.8544 0.2980
3 Al 0.7500 0.1456 0.7020
4 Al 0.2500 0.6456 0.7980
5 Pa 0.2500 0.1983 0.9699
6 Pa 0.7500 0.8017 0.0301
7 Pa 0.7500 0.6983 0.5301
8 Pa 0.2500 0.3017 0.4699
9 Cr 0.7500 0.0039 0.3674
10 Cr 0.7500 0.4961 0.8674
11 Cr 0.2500 0.5039 0.1326
12 Cr 0.2500 0.9961 0.6326